Entry 1:
## TiMnNbRe (PBE)

Data for crystalline TiMnNbRe at its relaxed geometry.

Values from the calculation:
- energy above the lowest structure with this stoichiometry (meV per atom) = 18
- N(E_F) (states/eV/f.u.) = 2.87
- spin magnetization (Bohr magnetons per cell) = 0.39

Unit cell a=3.121 b=4.331 c=4.443 alpha=90.00 beta=90.00 gamma=90.00
Positions (direct):
Ti  0.000  0.000  0.000
Mn  0.500  0.000  0.500
Nb  0.000  0.500  0.500
Re  0.500  0.500  0.000

---

Entry 2:
## TiMnNbRe (PBE)

Data for crystalline TiMnNbRe at its relaxed geometry.

Values from the calculation:
- energy above the lowest structure with this stoichiometry (meV per atom) = 0
- N(E_F) (states/eV/f.u.) = 2.43
- spin magnetization (Bohr magnetons per cell) = 0.16

Unit cell a=4.391 b=4.391 c=4.391 alpha=60.00 beta=60.00 gamma=60.00
Positions (direct):
Ti  0.000  0.000  0.000
Mn  0.750  0.750  0.750
Nb  0.500  0.500  0.500
Re  0.250  0.250  0.250

---

Entry 3:
## MnNbVRe (PBE)

Data for crystalline MnNbVRe at its relaxed geometry.

Values from the calculation:
- N(E_F) (states/eV/f.u.) = 2.26
- spin magnetization (Bohr magnetons per cell) = 0.00

Unit cell a=4.334 b=4.334 c=4.334 alpha=60.00 beta=60.00 gamma=60.00
Positions (direct):
Mn  0.000  0.000  0.000
Nb  0.250  0.250  0.250
V  0.750  0.750  0.750
Re  0.500  0.500  0.500

---

Entry 4:
## ZrMnNbRe (PBE)

Data for crystalline ZrMnNbRe at its relaxed geometry.

Values from the calculation:
- N(E_F) (states/eV/f.u.) = 2.55
- spin magnetization (Bohr magnetons per cell) = 0.43

Unit cell a=4.529 b=4.529 c=4.529 alpha=60.00 beta=60.00 gamma=60.00
Positions (direct):
Zr  0.000  0.000  0.000
Mn  0.250  0.250  0.250
Nb  0.500  0.500  0.500
Re  0.750  0.750  0.750

---

Entry 5:
## ZrMnNbRe2 (PBE)

Data for crystalline ZrMnNbRe2 at its relaxed geometry.

Values from the calculation:
- N(E_F) (states/eV/f.u.) = 6.14
- spin magnetization (Bohr magnetons per cell) = 0.00

Unit cell a=4.474 b=4.474 c=4.594 alpha=90.00 beta=90.00 gamma=90.00
Positions (direct):
Zr  0.000  0.000  0.000
Mn  0.000  0.000  0.500
Nb  0.500  0.500  0.000
Re  0.000  0.500  0.500
Re  0.500  0.000  0.500

---

Entry 6:
## MnNbRh2 (PBE)

Data for crystalline MnNbRh2 at its relaxed geometry.

Values from the calculation:
- N(E_F) (states/eV/f.u.) = 3.93
- spin magnetization (Bohr magnetons per cell) = 4.14

Unit cell a=8.890 b=8.890 c=8.890 alpha=18.40 beta=18.40 gamma=18.40
Positions (direct):
Mn  0.000  0.000  0.000
Nb  0.834  0.834  0.834
Rh  0.253  0.253  0.253
Rh  0.415  0.415  0.415

---

In meV per atom, the E_form values for the records above are, in order, -261.1 -279.2 -182.9 -150.4 938.1 -101.1.